The following is a PBE calculation of a geometry-optimized Sr3Cu2RuO8 structure, from the Alexandria database.

The value obtained for the magnetic moment is 4.4 μB per formula unit. For the density of states at the Fermi level, the calculation gives 16.79 states/eV/cell. The formation energy (no corrections) is -1.507 eV per atom.

The space group is P-3m1 (No. 164) and the conventional cell measures 5.5820, 5.5820 and 7.2950 Å, with angles of 90.00, 90.00 and 120.00 degrees. The inequivalent atoms are Sr at (0.0000, 0.0000, 0.0000), Sr at (0.3333, 0.6667, 0.6323), Cu at (0.3333, 0.6667, 0.1943), Ru at (0.0000, 0.0000, 0.5000), O at (0.1620, 0.3240, 0.3382) and O at (0.3333, 0.6667, 0.9512).

***

The following is a PBE calculation of a geometry-optimized Cu2TeRuO structure, from the Alexandria database.

The value obtained for the magnetic moment is 4.0 μB per formula unit. For the density of states at the Fermi level, the calculation gives 5.06 states/eV/cell. The formation energy (no corrections) is 1.332 eV per atom.

The space group is P4/mmm (No. 123) and the conventional cell measures 4.7854, 4.7854 and 5.0964 Å, with angles of 90.00, 90.00 and 90.00 degrees. The inequivalent atoms are Cu at (0.0000, 0.5000, 0.0000), Te at (0.0000, 0.0000, 0.0000), Ru at (0.0000, 0.0000, 0.5000) and O at (0.5000, 0.5000, 0.5000).

***

The following is a PBE calculation of a geometry-optimized Tl2CuRuO4 structure, from the Alexandria database.

The value obtained for the magnetic moment is 0.9 μB per formula unit. For the density of states at the Fermi level, the calculation gives 15.91 states/eV/cell. The formation energy (no corrections) is -0.498 eV per atom.

The space group is Fddd (No. 70, origin choice 2) and the conventional cell measures 5.2352, 11.9018 and 19.4453 Å, with angles of 90.00, 90.00 and 90.00 degrees. The inequivalent atoms are Tl at (0.1250, 0.1250, 0.3007), Cu at (0.1250, 0.1250, 0.1250), Ru at (0.1250, 0.1250, 0.6250) and O at (0.1005, 0.2738, 0.8333).